# Na2TbW3O12 (PBE with a Hubbard U, optimized geometry)
# Final energy in eV/cell: -377.981
data_Na2TbW3O12
_symmetry_space_group_name_H-M 'R -3 m'
_symmetry_Int_Tables_number 166
_symmetry_space_group_name_Hall '-R 3 2"'
_cell_length_a 7.5108
_cell_length_b 7.5108
_cell_length_c 19.0042
_cell_angle_alpha 90.00
_cell_angle_beta 90.00
_cell_angle_gamma 120.00
loop_
_atom_site_label
_atom_site_type_symbol
_atom_site_fract_x
_atom_site_fract_y
_atom_site_fract_z
Na1 Na 0.0000 0.0000 0.1981
Tb1 Tb 0.0000 0.0000 0.5000
W1 W 0.0000 0.5000 0.0000
O1 O 0.0382 0.5191 0.0998
O2 O 0.0924 0.5462 0.3441